A geometry-optimized ThBeZn structure. Source: Alexandria via LeMat-Bulk, functional PBE.

Cell lengths 3.9574, 3.9574, 8.4177 Å; angles 103.60, 103.60, 90.00 degrees
Closest atoms and distances in Å follow each position.
Atoms (fractional coordinates):
1 Be 0.0615 0.0615 0.1229  1 Be 1.95
2 Be 0.9385 0.9385 0.8771  1 Be 1.95
3 Th 0.6019 0.6019 0.2038  4 Be 2.87, 1 Zn 3.00
4 Th 0.3981 0.3981 0.7962  4 Be 2.87, 1 Zn 3.00
5 Zn 0.7909 0.7909 0.5817  1 Be 2.34
6 Zn 0.2091 0.2091 0.4183  1 Be 2.34

Summary:
* energy above the most stable polymorph in this dataset: 341 meV per atom
* D(E_F): 4.01 states/eV per cell


A geometry-optimized LiB5H2O9 structure. Source: Alexandria via LeMat-Bulk, functional PBE.

Cell lengths 5.5413, 9.3023, 13.9369 Å; angles 90.00, 90.12, 90.00 degrees
Closest atoms and distances in Å follow each position.
Atoms (fractional coordinates):
1 Li 0.5245 0.1094 0.1950  4 O 1.95-2.09
2 Li 0.4755 0.6094 0.3050  4 O 1.95-2.09
3 Li 0.4755 0.8906 0.8050  4 O 1.95-2.09
4 Li 0.5245 0.3906 0.6950  4 O 1.95-2.09
5 B 0.1876 0.8399 0.1881  4 O 1.45-1.50
6 B 0.8124 0.3399 0.3119  4 O 1.45-1.50
7 B 0.8124 0.1601 0.8119  4 O 1.45-1.50
8 B 0.1876 0.6601 0.6881  4 O 1.45-1.50
9 B 0.2312 0.9791 0.3404  3 O 1.37-1.38
10 B 0.7688 0.4791 0.1596  3 O 1.37-1.38
11 B 0.7688 0.0209 0.6596  3 O 1.37-1.38
12 B 0.2312 0.5209 0.8404  3 O 1.37-1.38
13 B 0.9001 0.8170 0.3212  3 O 1.36-1.39
14 B 0.0999 0.3170 0.1788  3 O 1.36-1.39
15 B 0.0999 0.1830 0.6788  3 O 1.36-1.39
16 B 0.9001 0.6830 0.8212  3 O 1.36-1.39
17 B 0.2775 0.8626 0.0122  3 O 1.36-1.39
18 B 0.7225 0.3626 0.4878  3 O 1.36-1.39
19 B 0.7225 0.1374 0.9878  3 O 1.36-1.39
20 B 0.2775 0.6374 0.5122  3 O 1.36-1.39
21 B 0.4874 0.6804 0.1049  3 O 1.36-1.40
22 B 0.5126 0.1804 0.3951  3 O 1.36-1.40
23 B 0.5126 0.3196 0.8951  3 O 1.36-1.40
24 B 0.4874 0.8196 0.6049  3 O 1.36-1.40
25 H 0.6529 0.7729 0.4248  1 O 0.99
26 H 0.3471 0.2729 0.0752  1 O 0.99
27 H 0.3471 0.2271 0.5752  1 O 0.99
28 H 0.6529 0.7271 0.9248  1 O 0.99
29 H 0.1111 0.9932 0.9183  1 O 1.00
30 H 0.8889 0.4932 0.5817  1 O 1.00
31 H 0.8889 0.0068 0.0817  1 O 1.00
32 H 0.1111 0.5068 0.4183  1 O 1.00
33 O 0.3472 0.0724 0.4012  2 B 1.36-1.37
34 O 0.6528 0.5724 0.0988  2 B 1.36-1.37
35 O 0.6528 0.9276 0.5988  2 B 1.36-1.37
36 O 0.3472 0.4276 0.9012  2 B 1.36-1.37
37 O 0.0363 0.9070 0.3794  2 B 1.38-1.39
38 O 0.9637 0.4070 0.1206  2 B 1.38-1.39
39 O 0.9637 0.0930 0.6206  2 B 1.38-1.39
40 O 0.0363 0.5930 0.8794  2 B 1.38-1.39
41 O 0.6980 0.7514 0.3577  1 H 0.99
42 O 0.3020 0.2514 0.1423  1 H 0.99
43 O 0.3020 0.2486 0.6423  1 H 0.99
44 O 0.6980 0.7486 0.8577  1 H 0.99
45 O 0.3043 0.9553 0.2475  2 B 1.38-1.50
46 O 0.6957 0.4553 0.2525  2 B 1.38-1.50
47 O 0.6957 0.0447 0.7525  2 B 1.38-1.50
48 O 0.3043 0.5447 0.7475  2 B 1.38-1.50
49 O 0.9599 0.7924 0.2281  2 B 1.36-1.45
50 O 0.0401 0.2924 0.2719  2 B 1.36-1.45
51 O 0.0401 0.2076 0.7719  2 B 1.36-1.45
52 O 0.9599 0.7076 0.7281  2 B 1.36-1.45
53 O 0.1425 0.8996 0.0901  2 B 1.36-1.49
54 O 0.8575 0.3996 0.4099  2 B 1.36-1.49
55 O 0.8575 0.1004 0.9099  2 B 1.36-1.49
56 O 0.1425 0.6004 0.5901  2 B 1.36-1.49
57 O 0.3575 0.7140 0.1847  2 B 1.36-1.50
58 O 0.6425 0.2140 0.3153  2 B 1.36-1.50
59 O 0.6425 0.2860 0.8153  2 B 1.36-1.50
60 O 0.3575 0.7860 0.6847  2 B 1.36-1.50
61 O 0.2506 0.9250 0.9228  1 H 1.00
62 O 0.7494 0.4250 0.5772  1 H 1.00
63 O 0.7494 0.0750 0.0772  1 H 1.00
64 O 0.2506 0.5750 0.4228  1 H 1.00
65 O 0.4566 0.7586 0.0201  2 B 1.39-1.40
66 O 0.5434 0.2586 0.4799  2 B 1.39-1.40
67 O 0.5434 0.2414 0.9799  2 B 1.39-1.40
68 O 0.4566 0.7414 0.5201  2 B 1.39-1.40

Summary:
* D(E_F): 0.00 states/eV per cell
* uncorrected energy: -0.5367 Ry/atom


A geometry-optimized Nd2ErSb structure. Source: Alexandria via LeMat-Bulk, functional PBE.

Cell lengths 4.2492, 4.2492, 6.7928 Å; angles 90.00, 90.00, 90.00 degrees
Closest atoms and distances in Å follow each position.
Atoms (fractional coordinates):
1 Sb 0.5000 0.5000 0.0000  2 Er 3.40, 8 Nd 3.40
2 Nd 0.0000 0.0000 0.7666  1 Nd 3.17, 4 Sb 3.40, 4 Er 3.51
3 Nd 0.0000 0.0000 0.2334  1 Nd 3.17, 4 Sb 3.40, 4 Er 3.51
4 Er 0.5000 0.5000 0.5000  2 Sb 3.40, 8 Nd 3.51

Summary:
* energy above the most stable polymorph in this dataset: 4 meV per atom
* D(E_F): 4.23 states/eV per cell


A geometry-optimized AcZrGe2 structure. Source: Alexandria via LeMat-Bulk, functional PBE.

Cell lengths 3.7730, 3.7730, 6.6424 Å; angles 90.00, 90.00, 90.00 degrees
Closest atoms and distances in Å follow each position.
Atoms (fractional coordinates):
1 Ac 0.5000 0.5000 0.5000  2 Zr 3.32, 8 Ge 3.36
2 Ge 0.0000 0.0000 0.8070  1 Ge 2.56
3 Ge 0.0000 0.0000 0.1930  1 Ge 2.56
4 Zr 0.5000 0.5000 0.0000  8 Ge 2.96

Summary:
* D(E_F): 3.21 states/eV per cell
* uncorrected energy: -0.4437 Ry/atom